{
  "formula": "FeAsSe4",
  "functional": "PBE",
  "state": "relaxed",
  "lattice_angstrom": [[0.0000, 3.9726, 3.9726], [3.9726, 0.0000, 3.9726], [3.9726, 3.9726, 0.0000]],
  "species": ["Fe", "As", "Se", "Se", "Se", "Se"],
  "frac_coords": [[0.0000, 0.0000, 0.0000], [0.2500, 0.2500, 0.2500], [0.1227, 0.6258, 0.6258], [0.6258, 0.1227, 0.6258], [0.6258, 0.6258, 0.1227], [0.6258, 0.6258, 0.6258]],
  "magnetic_moment_mub_per_atom": 0.55,
  "volume_a3_per_fu": 125.4,
  "e_form_raw_kj_per_mol_fu": 550,
  "sg": "F-43m, No. 216",
  "e_tot_ev_per_atom": -3.56
}